Density functional theory data (GGA-PBE) for a relaxed LaCuNiPb crystal.

Cell lengths 4.947, 4.947, 4.947 Å; angles 60.00, 60.00, 60.00 degrees
Fractional positions:
La 0.000 0.000 0.000
Cu 0.250 0.250 0.250
Ni 0.500 0.500 0.500
Pb 0.750 0.750 0.750

## Properties
* offset from the most stable computed form: 251 meV/atom


Density functional theory data (GGA-PBE) for a relaxed ZnO crystal.

Cell lengths 2.935, 2.935, 2.694 Å; angles 90.00, 90.00, 120.00 degrees
Fractional positions:
Zn 0.000 0.000 0.000
O 0.333 0.667 0.500

## Properties
* total DFT energy (no corrections): -4.2132 eV per atom


Density functional theory data (GGA-PBE) for a relaxed DySnPb crystal.

Cell lengths 5.173, 5.173, 5.173 Å; angles 60.00, 60.00, 60.00 degrees
Fractional positions:
Dy 0.000 0.000 0.000
Sn 0.250 0.250 0.250
Pb 0.750 0.750 0.750

## Properties
* offset from the most stable computed form: 0 meV/atom


Number 1: ρ 9.08 Mg/m³. Number 2: ρ 6.72 Mg/m³. Number 3: ρ 8.28 Mg/m³.